Er3BC3 | GGA-PBE | optimized geometry

a = 6.468 Å, b = 6.468 Å, c = 5.009 Å
α = 90.00°, β = 90.00°, γ = 104.20°
Positions (direct):
Er (0.104, 0.896, 0.750)
Er (0.160, 0.412, 0.750)
Er (0.412, 0.160, 0.250)
Er (0.588, 0.840, 0.750)
Er (0.840, 0.588, 0.250)
Er (0.896, 0.104, 0.250)
B (0.290, 0.710, 0.250)
B (0.710, 0.290, 0.750)
C (0.121, 0.879, 0.250)
C (0.175, 0.453, 0.250)
C (0.453, 0.175, 0.750)
C (0.547, 0.825, 0.250)
C (0.825, 0.547, 0.750)
C (0.879, 0.121, 0.750)

Values from the calculation:
Polymorph energy (0 for the lowest one), eV/atom: 0.183
DFT formation energy, meV/atom: -179
Calculated volume, Å³ per cell: 203.11
Total moment, μB per formula unit: 0.001